[1]
# ZrV2Si2 GGA-PBE optimized geometry
data_ZrV2Si2
_chemical_formula_sum 'Zr2 V4 Si4'
_space_group_name_H-M_alt 'I 4/m m m'
_space_group_IT_number 139
_space_group_name_Hall '-I 4 2'
_cell_length_a 3.7208
_cell_length_b 3.7208
_cell_length_c 11.1210
_cell_angle_alpha 90.00
_cell_angle_beta 90.00
_cell_angle_gamma 90.00
loop_
_atom_site_label
_atom_site_fract_x
_atom_site_fract_y
_atom_site_fract_z
Zr1 0.0000 0.0000 0.0000
V1 0.0000 0.5000 0.2500
Si1 0.0000 0.0000 0.3956
# Polymorph energy (0 for the lowest one) = 0.0000 eV/atom
# Total energy = -8.145 eV per atom
# ΔE_f (raw) = -619.0 meV/atom
# DOS at the Fermi energy = 2.5 states/eV/f.u.
# Magnetic moment = 0.0 μB/f.u.


[2]
# ZrVSi GGA-PBE optimized geometry
data_ZrVSi
_chemical_formula_sum 'Zr2 V2 Si2'
_space_group_name_H-M_alt 'I 4 m m'
_space_group_IT_number 107
_space_group_name_Hall 'I 4 -2'
_cell_length_a 3.3226
_cell_length_b 3.3226
_cell_length_c 9.0234
_cell_angle_alpha 90.00
_cell_angle_beta 90.00
_cell_angle_gamma 90.00
loop_
_atom_site_label
_atom_site_fract_x
_atom_site_fract_y
_atom_site_fract_z
Zr1 0.0000 0.0000 0.0000
V1 0.0000 0.0000 0.6914
Si1 0.0000 0.0000 0.3131
# Total energy = -8.026 eV per atom
# ΔE_f (raw) = -329.1 meV/atom
# DOS at the Fermi energy = 1.6 states/eV/f.u.
# Magnetic moment = 0.9 μB/f.u.


[3]
# ZrVSi GGA-PBE optimized geometry
data_ZrVSi
_chemical_formula_sum 'Zr2 V2 Si2'
_space_group_name_H-M_alt 'P m m 2'
_space_group_IT_number 25
_space_group_name_Hall 'P 2 -2'
_cell_length_a 3.5835
_cell_length_b 3.8260
_cell_length_c 7.3164
_cell_angle_alpha 90.00
_cell_angle_beta 90.00
_cell_angle_gamma 90.00
loop_
_atom_site_label
_atom_site_fract_x
_atom_site_fract_y
_atom_site_fract_z
Zr1 0.0000 0.0000 0.0000
Zr2 0.0000 0.5000 0.3766
V1 0.5000 0.0000 0.6463
V2 0.5000 0.5000 0.0078
Si1 0.0000 0.5000 0.7386
Si2 0.5000 0.0000 0.2819
# Total energy = -8.122 eV per atom
# ΔE_f (raw) = -425.6 meV/atom
# DOS at the Fermi energy = 2.6 states/eV/f.u.
# Magnetic moment = 0.0 μB/f.u.